ScZnCd2 | PBE | relaxed

Results
energy of formation: -0.004 eV per atom
space group: No. 166
calculated volume: 86 Å³/f.u.
spin magnetization: 0.00 μB/cell
electronic total energy: -2.363 eV/atom

Unit cell a=9.392 b=9.392 c=9.392 alpha=20.20 beta=20.20 gamma=20.20
Fractional positions:
Zn 0.750 0.750 0.750
Cd 0.006 0.006 0.006
Sc 0.250 0.250 0.250
Cd 0.494 0.494 0.494